Compound: Ta5NiH5
Source: the Alexandria database
Functional: PBE
Structure: relaxed

a b c (Å): 10.520 3.441 6.623
angles (deg): 90.00 106.23 90.00
Space group C2/m (No. 12)
One atom of each set of equivalent atoms:
Ta: 0.000 0.000 0.000 (multiplicity 2)
Ta: 0.149 0.500 0.326 (multiplicity 4)
Ta: 0.160 0.500 0.814 (multiplicity 4)
Ni: 0.000 0.000 0.500 (multiplicity 2)
H: 0.000 0.500 0.500 (multiplicity 2)
H: 0.176 0.000 0.952 (multiplicity 4)
H: 0.239 0.000 0.385 (multiplicity 4)

As for the total DFT energy (no corrections): -7.5275 eV/atom.